Entry 1:
A relaxed KTaMn4 crystal, computed with GGA-PBEsol. Values from VASP.

Cell and atoms, written as Quantum ESPRESSO input:
```
&SYSTEM
  ibrav = 0, nat = 6, ntyp = 3
/
ATOMIC_SPECIES
K 39.10 K.upf
Ta 180.95 Ta.upf
Mn 54.94 Mn.upf
ATOMIC_POSITIONS crystal
K 0.000 0.000 0.000
Ta 0.750 0.750 0.750
Mn 0.376 0.376 0.376
Mn 0.376 0.376 0.872
Mn 0.376 0.872 0.376
Mn 0.872 0.376 0.376
CELL_PARAMETERS angstrom
0.000 3.457 3.457
3.457 0.000 3.457
3.457 3.457 0.000
```

Entry 2:
A relaxed KTa2Mn crystal, computed with GGA-PBEsol. Values from VASP.

Cell and atoms, written as Quantum ESPRESSO input:
```
&SYSTEM
  ibrav = 0, nat = 4, ntyp = 3
/
ATOMIC_SPECIES
K 39.10 K.upf
Ta 180.95 Ta.upf
Mn 54.94 Mn.upf
ATOMIC_POSITIONS crystal
K 0.000 0.000 0.000
Ta 0.301 0.801 0.500
Ta 0.699 0.199 0.500
Mn 0.500 0.500 0.000
CELL_PARAMETERS angstrom
-1.406 2.699 5.205
1.406 -2.699 5.205
1.406 2.699 -5.205
```

Entry 3:
A relaxed KTa3Mn crystal, computed with GGA-PBEsol. Values from VASP.

Cell and atoms, written as Quantum ESPRESSO input:
```
&SYSTEM
  ibrav = 0, nat = 5, ntyp = 3
/
ATOMIC_SPECIES
K 39.10 K.upf
Ta 180.95 Ta.upf
Mn 54.94 Mn.upf
ATOMIC_POSITIONS crystal
K 0.000 0.000 0.000
Ta 0.000 0.000 0.500
Ta 0.000 0.500 0.000
Ta 0.500 0.000 0.000
Mn 0.500 0.500 0.500
CELL_PARAMETERS angstrom
4.541 0.000 0.000
0.000 4.541 0.000
0.000 0.000 4.541
```

Entry 4:
A relaxed KMnTc3 crystal, computed with GGA-PBEsol. Values from VASP.

Cell and atoms, written as Quantum ESPRESSO input:
```
&SYSTEM
  ibrav = 0, nat = 5, ntyp = 3
/
ATOMIC_SPECIES
K 39.10 K.upf
Mn 54.94 Mn.upf
Tc 98.00 Tc.upf
ATOMIC_POSITIONS crystal
K 0.000 0.000 0.000
Mn 0.500 0.500 0.500
Tc 0.000 0.000 0.500
Tc 0.000 0.500 0.000
Tc 0.500 0.000 0.000
CELL_PARAMETERS angstrom
4.361 0.000 0.000
0.000 4.361 0.000
0.000 0.000 4.361
```

Entry 5:
! KMnTc2 | Alexandria via LeMat-Bulk | GGA-PBEsol | relaxed; values from VASP
&SYSTEM
  ibrav = 0, nat = 4, ntyp = 3
/
ATOMIC_SPECIES
K 39.10 K.upf
Mn 54.94 Mn.upf
Tc 98.00 Tc.upf
ATOMIC_POSITIONS crystal
K 0.000 0.000 0.000
Mn 0.000 0.000 0.500
Tc 0.500 0.500 0.319
Tc 0.500 0.500 0.681
CELL_PARAMETERS angstrom
2.636 0.000 0.000
0.000 2.636 0.000
0.000 0.000 9.458
! * relative energy among the computed polymorphs: 15 meV/atom

Entry 6:
! KMnTc2 | Alexandria via LeMat-Bulk | GGA-PBEsol | relaxed; values from VASP
&SYSTEM
  ibrav = 0, nat = 4, ntyp = 3
/
ATOMIC_SPECIES
K 39.10 K.upf
Mn 54.94 Mn.upf
Tc 98.00 Tc.upf
ATOMIC_POSITIONS crystal
K 0.000 0.000 0.000
Mn 0.250 0.250 0.250
Tc 0.500 0.500 0.500
Tc 0.750 0.750 0.750
CELL_PARAMETERS angstrom
0.000 3.179 3.179
3.179 0.000 3.179
3.179 3.179 0.000
! * relative energy among the computed polymorphs: 644 meV/atom

Entry 7:
! KMnTc2 | Alexandria via LeMat-Bulk | GGA-PBEsol | relaxed; values from VASP
&SYSTEM
  ibrav = 0, nat = 4, ntyp = 3
/
ATOMIC_SPECIES
K 39.10 K.upf
Mn 54.94 Mn.upf
Tc 98.00 Tc.upf
ATOMIC_POSITIONS crystal
K 0.000 0.000 0.000
Mn 0.500 0.500 0.500
Tc 0.233 0.233 0.233
Tc 0.767 0.767 0.767
CELL_PARAMETERS angstrom
1.353 0.781 9.956
-1.353 0.781 9.956
0.000 -1.562 9.956
! * relative energy among the computed polymorphs: 0 meV/atom

Entry 8:
A relaxed K2MnTc crystal, computed with GGA-PBEsol. Values from VASP.

Cell and atoms, written as Quantum ESPRESSO input:
```
&SYSTEM
  ibrav = 0, nat = 4, ntyp = 3
/
ATOMIC_SPECIES
K 39.10 K.upf
Mn 54.94 Mn.upf
Tc 98.00 Tc.upf
ATOMIC_POSITIONS crystal
K 0.000 0.000 0.000
K 0.500 0.500 0.000
Mn 0.000 0.500 0.500
Tc 0.500 0.000 0.500
CELL_PARAMETERS angstrom
2.841 0.000 0.000
0.000 4.890 0.000
0.000 0.000 5.880
```

Entry 9:
A relaxed KTi3Mn crystal, computed with GGA-PBEsol. Values from VASP.

Cell and atoms, written as Quantum ESPRESSO input:
```
&SYSTEM
  ibrav = 0, nat = 5, ntyp = 3
/
ATOMIC_SPECIES
K 39.10 K.upf
Ti 47.87 Ti.upf
Mn 54.94 Mn.upf
ATOMIC_POSITIONS crystal
K 0.000 0.000 0.000
Ti 0.000 0.500 0.500
Ti 0.500 0.000 0.500
Ti 0.500 0.500 0.000
Mn 0.500 0.500 0.500
CELL_PARAMETERS angstrom
4.660 0.000 0.000
0.000 4.660 0.000
0.000 0.000 4.660
```

Entry 10:
A relaxed K4MnTl crystal, computed with GGA-PBEsol. Values from VASP.

Cell and atoms, written as Quantum ESPRESSO input:
```
&SYSTEM
  ibrav = 0, nat = 6, ntyp = 3
/
ATOMIC_SPECIES
K 39.10 K.upf
Mn 54.94 Mn.upf
Tl 204.38 Tl.upf
ATOMIC_POSITIONS crystal
K 0.125 0.125 0.125
K 0.125 0.125 0.625
K 0.125 0.625 0.125
K 0.625 0.125 0.125
Mn 0.750 0.750 0.750
Tl 0.500 0.500 0.500
CELL_PARAMETERS angstrom
0.000 5.034 5.034
5.034 0.000 5.034
5.034 5.034 0.000
```

Entry 11:
! KMnTl2 | Alexandria via LeMat-Bulk | GGA-PBEsol | relaxed; values from VASP
&SYSTEM
  ibrav = 0, nat = 4, ntyp = 3
/
ATOMIC_SPECIES
K 39.10 K.upf
Mn 54.94 Mn.upf
Tl 204.38 Tl.upf
ATOMIC_POSITIONS crystal
K 0.000 0.000 0.000
Mn 0.500 0.500 0.500
Tl 0.240 0.240 0.683
Tl 0.760 0.760 0.317
CELL_PARAMETERS angstrom
4.348 -1.634 0.000
4.348 1.634 0.000
-0.935 0.000 7.827
! * relative energy among the computed polymorphs: 108 meV/atom

Entry 12:
! KMnTl2 | Alexandria via LeMat-Bulk | GGA-PBEsol | relaxed; values from VASP
&SYSTEM
  ibrav = 0, nat = 4, ntyp = 3
/
ATOMIC_SPECIES
K 39.10 K.upf
Mn 54.94 Mn.upf
Tl 204.38 Tl.upf
ATOMIC_POSITIONS crystal
K 0.000 0.000 0.000
Mn 0.000 0.000 0.500
Tl 0.500 0.500 0.307
Tl 0.500 0.500 0.693
CELL_PARAMETERS angstrom
3.462 0.000 0.000
0.000 3.462 0.000
0.000 0.000 8.415
! * relative energy among the computed polymorphs: 0 meV/atom

Entry 13:
! KMnTl2 | Alexandria via LeMat-Bulk | GGA-PBEsol | relaxed; values from VASP
&SYSTEM
  ibrav = 0, nat = 4, ntyp = 3
/
ATOMIC_SPECIES
K 39.10 K.upf
Mn 54.94 Mn.upf
Tl 204.38 Tl.upf
ATOMIC_POSITIONS crystal
K 0.000 0.000 0.000
Mn 0.500 0.500 0.346
Tl 0.000 0.000 0.435
Tl 0.500 0.500 0.697
CELL_PARAMETERS angstrom
3.333 0.000 0.000
0.000 4.299 0.000
0.000 0.000 7.996
! * relative energy among the computed polymorphs: 167 meV/atom

Entry 14:
A relaxed KMnTl crystal, computed with GGA-PBEsol. Values from VASP.

Cell and atoms, written as Quantum ESPRESSO input:
```
&SYSTEM
  ibrav = 0, nat = 3, ntyp = 3
/
ATOMIC_SPECIES
K 39.10 K.upf
Mn 54.94 Mn.upf
Tl 204.38 Tl.upf
ATOMIC_POSITIONS crystal
K 0.000 0.000 0.000
Mn 0.750 0.750 0.750
Tl 0.500 0.500 0.500
CELL_PARAMETERS angstrom
0.000 3.527 3.527
3.527 0.000 3.527
3.527 3.527 0.000
```

Entry 15:
A relaxed KMn3Tl crystal, computed with GGA-PBEsol. Values from VASP.

Cell and atoms, written as Quantum ESPRESSO input:
```
&SYSTEM
  ibrav = 0, nat = 5, ntyp = 3
/
ATOMIC_SPECIES
K 39.10 K.upf
Mn 54.94 Mn.upf
Tl 204.38 Tl.upf
ATOMIC_POSITIONS crystal
K 0.000 0.000 0.000
Mn 0.000 0.500 0.500
Mn 0.500 0.000 0.500
Mn 0.500 0.500 0.000
Tl 0.500 0.500 0.500
CELL_PARAMETERS angstrom
5.212 0.000 0.000
0.000 5.212 0.000
0.000 0.000 5.212
```

Entry 16:
! KMn2W | Alexandria via LeMat-Bulk | GGA-PBEsol | relaxed; values from VASP
&SYSTEM
  ibrav = 0, nat = 4, ntyp = 3
/
ATOMIC_SPECIES
K 39.10 K.upf
Mn 54.94 Mn.upf
W 183.84 W.upf
ATOMIC_POSITIONS crystal
K 0.000 0.000 0.000
Mn 0.250 0.250 0.250
Mn 0.750 0.750 0.750
W 0.500 0.500 0.500
CELL_PARAMETERS angstrom
0.000 3.236 3.236
3.236 0.000 3.236
3.236 3.236 0.000
! * relative energy among the computed polymorphs: 572 meV/atom

Entry 17:
! KMn2W | Alexandria via LeMat-Bulk | GGA-PBEsol | relaxed; values from VASP
&SYSTEM
  ibrav = 0, nat = 4, ntyp = 3
/
ATOMIC_SPECIES
K 39.10 K.upf
Mn 54.94 Mn.upf
W 183.84 W.upf
ATOMIC_POSITIONS crystal
K 0.000 0.000 0.000
Mn 0.231 0.231 0.231
Mn 0.769 0.769 0.769
W 0.500 0.500 0.500
CELL_PARAMETERS angstrom
1.476 0.852 9.642
-1.476 0.852 9.642
0.000 -1.704 9.642
! * relative energy among the computed polymorphs: 0 meV/atom

Entry 18:
A relaxed KMn3W crystal, computed with GGA-PBEsol. Values from VASP.

Cell and atoms, written as Quantum ESPRESSO input:
```
&SYSTEM
  ibrav = 0, nat = 5, ntyp = 3
/
ATOMIC_SPECIES
K 39.10 K.upf
Mn 54.94 Mn.upf
W 183.84 W.upf
ATOMIC_POSITIONS crystal
K 0.000 0.000 0.000
Mn 0.000 0.500 0.500
Mn 0.500 0.000 0.500
Mn 0.500 0.500 0.000
W 0.500 0.500 0.500
CELL_PARAMETERS angstrom
4.817 0.000 0.000
0.000 4.817 0.000
0.000 0.000 4.817
```

Entry 19:
A relaxed K2YMn crystal, computed with GGA-PBEsol. Values from VASP.

Cell and atoms, written as Quantum ESPRESSO input:
```
&SYSTEM
  ibrav = 0, nat = 4, ntyp = 3
/
ATOMIC_SPECIES
K 39.10 K.upf
Y 88.91 Y.upf
Mn 54.94 Mn.upf
ATOMIC_POSITIONS crystal
K 0.000 0.500 0.000
K 0.500 0.000 0.000
Y 0.000 0.000 0.500
Mn 0.500 0.500 0.500
CELL_PARAMETERS angstrom
3.256 -6.664 0.000
3.256 6.664 0.000
-1.795 0.000 3.067
```

Entry 20:
A relaxed KY3Mn crystal, computed with GGA-PBEsol. Values from VASP.

Cell and atoms, written as Quantum ESPRESSO input:
```
&SYSTEM
  ibrav = 0, nat = 5, ntyp = 3
/
ATOMIC_SPECIES
K 39.10 K.upf
Y 88.91 Y.upf
Mn 54.94 Mn.upf
ATOMIC_POSITIONS crystal
K 0.000 0.000 0.000
Y 0.000 0.000 0.500
Y 0.000 0.500 0.000
Y 0.500 0.000 0.000
Mn 0.500 0.500 0.500
CELL_PARAMETERS angstrom
5.210 0.000 0.000
0.000 5.210 0.000
0.000 0.000 5.210
```

Entry 21:
A relaxed KZrMn3 crystal, computed with GGA-PBEsol. Values from VASP.

Cell and atoms, written as Quantum ESPRESSO input:
```
&SYSTEM
  ibrav = 0, nat = 5, ntyp = 3
/
ATOMIC_SPECIES
K 39.10 K.upf
Zr 91.22 Zr.upf
Mn 54.94 Mn.upf
ATOMIC_POSITIONS crystal
K 0.000 0.000 0.000
Zr 0.500 0.500 0.500
Mn 0.000 0.000 0.500
Mn 0.000 0.500 0.000
Mn 0.500 0.000 0.000
CELL_PARAMETERS angstrom
4.617 0.000 0.000
0.000 4.617 0.000
0.000 0.000 4.617
```

Entry 22:
! KZrMn2 | Alexandria via LeMat-Bulk | GGA-PBEsol | relaxed; values from VASP
&SYSTEM
  ibrav = 0, nat = 4, ntyp = 3
/
ATOMIC_SPECIES
K 39.10 K.upf
Zr 91.22 Zr.upf
Mn 54.94 Mn.upf
ATOMIC_POSITIONS crystal
K 0.000 0.000 0.000
Zr 0.750 0.750 0.750
Mn 0.250 0.250 0.250
Mn 0.500 0.500 0.500
CELL_PARAMETERS angstrom
0.000 3.401 3.401
3.401 0.000 3.401
3.401 3.401 0.000
! * relative energy among the computed polymorphs: 232 meV/atom

Entry 23:
! KZrMn2 | Alexandria via LeMat-Bulk | GGA-PBEsol | relaxed; values from VASP
&SYSTEM
  ibrav = 0, nat = 4, ntyp = 3
/
ATOMIC_SPECIES
K 39.10 K.upf
Zr 91.22 Zr.upf
Mn 54.94 Mn.upf
ATOMIC_POSITIONS crystal
K 0.000 0.000 0.000
Zr 0.500 0.500 0.000
Mn 0.000 0.500 0.500
Mn 0.500 0.000 0.500
CELL_PARAMETERS angstrom
3.714 -3.726 0.000
3.714 3.726 0.000
0.000 0.000 3.011
! * relative energy among the computed polymorphs: 0 meV/atom

Entry 24:
A relaxed KZr4Mn crystal, computed with GGA-PBEsol. Values from VASP.

Cell and atoms, written as Quantum ESPRESSO input:
```
&SYSTEM
  ibrav = 0, nat = 6, ntyp = 3
/
ATOMIC_SPECIES
K 39.10 K.upf
Zr 91.22 Zr.upf
Mn 54.94 Mn.upf
ATOMIC_POSITIONS crystal
K 0.000 0.000 0.000
Zr 0.134 0.622 0.622
Zr 0.622 0.134 0.622
Zr 0.622 0.622 0.134
Zr 0.622 0.622 0.622
Mn 0.250 0.250 0.250
CELL_PARAMETERS angstrom
0.000 4.162 4.162
4.162 0.000 4.162
4.162 4.162 0.000
```

Entry 25:
! KZr2Mn | Alexandria via LeMat-Bulk | GGA-PBEsol | relaxed; values from VASP
&SYSTEM
  ibrav = 0, nat = 4, ntyp = 3
/
ATOMIC_SPECIES
K 39.10 K.upf
Zr 91.22 Zr.upf
Mn 54.94 Mn.upf
ATOMIC_POSITIONS crystal
K 0.000 0.000 0.000
Zr 0.000 0.000 0.442
Zr 0.500 0.500 0.652
Mn 0.500 0.500 0.282
CELL_PARAMETERS angstrom
3.219 0.000 0.000
0.000 3.219 0.000
0.000 0.000 9.741
! * relative energy among the computed polymorphs: 0 meV/atom

Entry 26:
! KZr2Mn | Alexandria via LeMat-Bulk | GGA-PBEsol | relaxed; values from VASP
&SYSTEM
  ibrav = 0, nat = 4, ntyp = 3
/
ATOMIC_SPECIES
K 39.10 K.upf
Zr 91.22 Zr.upf
Mn 54.94 Mn.upf
ATOMIC_POSITIONS crystal
K 0.000 0.000 0.000
Zr 0.250 0.250 0.250
Zr 0.500 0.500 0.500
Mn 0.750 0.750 0.750
CELL_PARAMETERS angstrom
0.000 3.572 3.572
3.572 0.000 3.572
3.572 3.572 0.000
! * relative energy among the computed polymorphs: 625 meV/atom

Entry 27:
A relaxed K3Mo crystal, computed with GGA-PBEsol. Values from VASP.

Cell and atoms, written as Quantum ESPRESSO input:
```
&SYSTEM
  ibrav = 0, nat = 4, ntyp = 2
/
ATOMIC_SPECIES
K 39.10 K.upf
Mo 95.94 Mo.upf
ATOMIC_POSITIONS crystal
K 0.000 0.000 0.000
K 0.500 0.500 0.310
K 0.500 0.500 0.690
Mo 0.000 0.000 0.500
CELL_PARAMETERS angstrom
3.976 0.000 0.000
0.000 3.976 0.000
0.000 0.000 12.230
```

Entry 28:
! KMo | Alexandria via LeMat-Bulk | GGA-PBEsol | relaxed; values from VASP
&SYSTEM
  ibrav = 0, nat = 4, ntyp = 2
/
ATOMIC_SPECIES
K 39.10 K.upf
Mo 95.94 Mo.upf
ATOMIC_POSITIONS crystal
K 0.250 0.250 0.198
K 0.750 0.750 0.802
Mo 0.250 0.250 0.548
Mo 0.750 0.750 0.452
CELL_PARAMETERS angstrom
3.287 0.000 0.000
0.000 3.287 0.000
0.000 0.000 10.843
! * relative energy among the computed polymorphs: 96 meV/atom

Entry 29:
! KMo | Alexandria via LeMat-Bulk | GGA-PBEsol | relaxed; values from VASP
&SYSTEM
  ibrav = 0, nat = 6, ntyp = 2
/
ATOMIC_SPECIES
K 39.10 K.upf
Mo 95.94 Mo.upf
ATOMIC_POSITIONS crystal
K 0.000 0.000 0.000
K 0.327 0.327 0.283
K 0.642 0.642 0.565
Mo 0.321 0.321 0.782
Mo 0.662 0.662 0.813
Mo 0.979 0.979 0.751
CELL_PARAMETERS angstrom
4.045 -2.060 0.000
4.045 2.060 0.000
-0.966 0.000 13.922
! * relative energy among the computed polymorphs: 0 meV/atom

Entry 30:
! KMo | Alexandria via LeMat-Bulk | GGA-PBEsol | relaxed; values from VASP
&SYSTEM
  ibrav = 0, nat = 4, ntyp = 2
/
ATOMIC_SPECIES
K 39.10 K.upf
Mo 95.94 Mo.upf
ATOMIC_POSITIONS crystal
K 0.125 0.125 0.125
K 0.875 0.875 0.875
Mo 0.375 0.375 0.375
Mo 0.625 0.625 0.625
CELL_PARAMETERS angstrom
0.000 3.457 3.457
3.457 0.000 3.457
3.457 3.457 0.000
! * relative energy among the computed polymorphs: 1097 meV/atom

Short version: size of the total moment = 1.1 1.6 4.1 2.2 0.2 3.1 0.0 3.3 1.3 4.3 3.8 3.9 4.0 3.6 12.9 4.4 4.9 9.6 3.8 4.5 10.1 6.0 6.9 4.1 3.5 1.1 4.7 0.0 0.0 0.0 Bohr magnetons per cell, in the order given.
Short version: E_form = 0.954 1.065 3.009 3.092 0.826 1.455 0.811 1.464 0.748 0.738 0.353 0.245 0.412 0.856 1.315 1.587 1.014 1.467 0.908 1.526 2.112 1.293 1.060 0.941 0.538 1.163 1.308 0.906 0.810 1.908 eV per atom, in the order given.